1.
Entry from the Alexandria database: an optimized crystal structure of Sc3W (GGA-PBEsol).

Cell and atoms, written as POSCAR:
```
Sc3W
1.0
3.027 -4.378 0.000
3.027 4.378 0.000
0.000 0.000 2.977
Sc W
3 1
direct
0.000 0.000 0.000
0.000 0.500 0.500
0.500 0.000 0.500
0.500 0.500 0.000
```

Values from the calculation:
Offset from the most stable computed form in meV/atom: 22
Formation energy from the elements in kJ per mole of atoms: 27.7


2.
Entry from the Alexandria database: an optimized crystal structure of Sc2W (GGA-PBEsol).

Cell and atoms, written as POSCAR:
```
Sc2W
1.0
2.430 -5.293 0.000
2.430 5.293 0.000
0.000 0.000 4.521
Sc W
4 2
direct
0.079 0.921 0.750
0.260 0.740 0.250
0.740 0.260 0.750
0.921 0.079 0.250
0.437 0.563 0.750
0.563 0.437 0.250
```

Values from the calculation:
Offset from the most stable computed form in meV/atom: 0
Formation energy from the elements in kJ per mole of atoms: 20.5


3.
Entry from the Alexandria database: an optimized crystal structure of YScW2 (GGA-PBEsol).

Cell and atoms, written as POSCAR:
```
YScW2
1.0
2.956 0.000 0.000
0.000 4.424 0.000
-1.197 0.000 5.989
Y Sc W
1 1 2
direct
0.000 0.000 0.000
0.753 0.500 0.304
0.301 0.500 0.729
0.480 0.000 0.539
```

Values from the calculation:
Offset from the most stable computed form in meV/atom: 16
Formation energy from the elements in kJ per mole of atoms: 36.5


4.
Entry from the Alexandria database: an optimized crystal structure of YScW2 (GGA-PBEsol).

Cell and atoms, written as POSCAR:
```
YScW2
1.0
1.646 -2.418 0.000
1.646 2.418 0.000
0.000 0.000 9.871
Y Sc W
1 1 2
direct
0.000 0.000 0.000
0.500 0.500 0.685
0.000 0.000 0.454
0.500 0.500 0.251
```

Values from the calculation:
Offset from the most stable computed form in meV/atom: 0
Formation energy from the elements in kJ per mole of atoms: 34.9


5.
Entry from the Alexandria database: an optimized crystal structure of YScW2 (GGA-PBEsol).

Cell and atoms, written as POSCAR:
```
YScW2
1.0
2.788 -4.852 0.000
2.788 4.852 0.000
0.000 0.000 2.793
Y Sc W
1 1 2
direct
0.000 0.000 0.000
0.500 0.500 0.000
0.000 0.500 0.500
0.500 0.000 0.500
```

Values from the calculation:
Offset from the most stable computed form in meV/atom: 200
Formation energy from the elements in kJ per mole of atoms: 54.2


6.
Entry from the Alexandria database: an optimized crystal structure of YScW2 (GGA-PBEsol).

Cell and atoms, written as POSCAR:
```
YScW2
1.0
0.000 3.361 3.361
3.361 0.000 3.361
3.361 3.361 0.000
Y Sc W
1 1 2
direct
0.000 0.000 0.000
0.500 0.500 0.500
0.250 0.250 0.250
0.750 0.750 0.750
```

Values from the calculation:
Offset from the most stable computed form in meV/atom: 441
Formation energy from the elements in kJ per mole of atoms: 77.4


7.
Entry from the Alexandria database: an optimized crystal structure of YScW2 (GGA-PBEsol).

Cell and atoms, written as POSCAR:
```
YScW2
1.0
2.797 0.000 0.000
0.000 4.579 0.000
0.000 0.000 5.953
Y Sc W
1 1 2
direct
0.000 0.000 0.000
0.500 0.500 0.271
0.000 0.000 0.521
0.500 0.500 0.722
```

Values from the calculation:
Offset from the most stable computed form in meV/atom: 229
Formation energy from the elements in kJ per mole of atoms: 57.0


8.
Entry from the Alexandria database: an optimized crystal structure of ScZn3W (GGA-PBEsol).

Cell and atoms, written as POSCAR:
```
ScZn3W
1.0
4.729 0.000 0.000
0.000 4.729 0.000
0.000 0.000 4.729
Sc Zn W
1 3 1
direct
0.000 0.000 0.000
0.000 0.500 0.500
0.500 0.000 0.500
0.500 0.500 0.000
0.500 0.500 0.500
```

Values from the calculation:
Formation energy from the elements in kJ per mole of atoms: 84.4


9.
Entry from the Alexandria database: an optimized crystal structure of ScZnW2 (GGA-PBEsol).

Cell and atoms, written as POSCAR:
```
ScZnW2
1.0
2.717 -4.440 0.000
2.717 4.440 0.000
0.000 0.000 2.684
Sc Zn W
1 1 2
direct
0.000 0.000 0.000
0.500 0.500 0.000
0.000 0.500 0.500
0.500 0.000 0.500
```

Values from the calculation:
Formation energy from the elements in kJ per mole of atoms: 33.7


10.
Entry from the Alexandria database: an optimized crystal structure of ScZnW2 (GGA-PBEsol).

Cell and atoms, written as POSCAR:
```
ScZnW2
1.0
-1.905 1.905 4.497
1.905 -1.905 4.497
1.905 1.905 -4.497
Sc Zn W
1 1 2
direct
0.000 0.000 0.000
0.500 0.500 0.000
0.250 0.750 0.500
0.750 0.250 0.500
```

Values from the calculation:
Formation energy from the elements in kJ per mole of atoms: 25.1


11.
Entry from the Alexandria database: an optimized crystal structure of ScZn2W (GGA-PBEsol).

Cell and atoms, written as POSCAR:
```
ScZn2W
1.0
4.931 0.000 0.000
0.000 2.791 0.000
-1.834 0.000 4.672
Sc Zn W
1 2 1
direct
0.000 0.000 0.000
0.500 0.000 0.500
0.500 0.500 0.000
0.000 0.500 0.500
```

Values from the calculation:
Formation energy from the elements in kJ per mole of atoms: 18.3


12.
Entry from the Alexandria database: an optimized crystal structure of Sc2ZnW (GGA-PBEsol).

Cell and atoms, written as POSCAR:
```
Sc2ZnW
1.0
2.984 0.000 0.000
0.000 3.524 0.000
0.000 0.000 6.818
Sc Zn W
2 1 1
direct
0.000 0.000 0.245
0.000 0.000 0.755
0.500 0.500 0.500
0.500 0.500 0.000
```

Values from the calculation:
Formation energy from the elements in kJ per mole of atoms: 3.5


13.
Entry from the Alexandria database: an optimized crystal structure of ScZnW (GGA-PBEsol).

Cell and atoms, written as POSCAR:
```
ScZnW
1.0
-1.601 1.601 4.888
1.601 -1.601 4.888
1.601 1.601 -4.888
Sc Zn W
1 1 1
direct
0.000 0.000 0.000
0.320 0.320 0.000
0.681 0.681 0.000
```

Values from the calculation:
Formation energy from the elements in kJ per mole of atoms: 24.2


14.
Entry from the Alexandria database: an optimized crystal structure of Sc2ZnW (GGA-PBEsol).

Cell and atoms, written as POSCAR:
```
Sc2ZnW
1.0
2.950 0.000 0.000
0.000 3.688 0.000
0.000 0.000 6.706
Sc Zn W
2 1 1
direct
0.000 0.000 0.000
0.500 0.500 0.329
0.500 0.500 0.768
0.000 0.000 0.571
```

Values from the calculation:
Formation energy from the elements in kJ per mole of atoms: 18.2


15.
Entry from the Alexandria database: an optimized crystal structure of ZrScZn2W (GGA-PBEsol).

Cell and atoms, written as POSCAR:
```
ZrScZn2W
1.0
4.825 0.000 0.000
0.000 4.825 0.000
0.000 0.000 4.563
Zr Sc Zn W
1 1 2 1
direct
0.000 0.000 0.000
0.500 0.500 0.000
0.000 0.500 0.500
0.500 0.000 0.500
0.500 0.500 0.500
```

Values from the calculation:
Formation energy from the elements in kJ per mole of atoms: 94.6


16.
Entry from the Alexandria database: an optimized crystal structure of ZrSc2W (GGA-PBEsol).

Cell and atoms, written as POSCAR:
```
ZrSc2W
1.0
2.870 0.000 0.000
0.000 4.625 0.000
0.000 0.000 5.989
Zr Sc W
1 2 1
direct
0.000 0.000 0.000
0.000 0.000 0.536
0.500 0.500 0.267
0.500 0.500 0.768
```

Values from the calculation:
Offset from the most stable computed form in meV/atom: 31
Formation energy from the elements in kJ per mole of atoms: 26.4


17.
Entry from the Alexandria database: an optimized crystal structure of ZrScW2 (GGA-PBEsol).

Cell and atoms, written as POSCAR:
```
ZrScW2
1.0
-1.956 1.956 4.708
1.956 -1.956 4.708
1.956 1.956 -4.708
Zr Sc W
1 1 2
direct
0.000 0.000 0.000
0.500 0.500 0.000
0.250 0.750 0.500
0.750 0.250 0.500
```

Values from the calculation:
Offset from the most stable computed form in meV/atom: 0
Formation energy from the elements in kJ per mole of atoms: 36.1


18.
Entry from the Alexandria database: an optimized crystal structure of ZrSc2W (GGA-PBEsol).

Cell and atoms, written as POSCAR:
```
ZrSc2W
1.0
4.100 0.000 0.000
0.000 4.100 0.000
0.000 0.000 4.713
Zr Sc W
1 2 1
direct
0.000 0.000 0.000
0.000 0.500 0.500
0.500 0.000 0.500
0.500 0.500 0.000
```

Values from the calculation:
Offset from the most stable computed form in meV/atom: 0
Formation energy from the elements in kJ per mole of atoms: 23.4


19.
Entry from the Alexandria database: an optimized crystal structure of Zr2ScW2 (GGA-PBEsol).

Cell and atoms, written as POSCAR:
```
Zr2ScW2
1.0
-2.086 2.086 6.054
2.086 -2.086 6.054
2.086 2.086 -6.054
Zr Sc W
2 1 2
direct
0.250 0.750 0.500
0.750 0.250 0.500
0.000 0.000 0.000
0.402 0.402 0.000
0.598 0.598 0.000
```

Values from the calculation:
Formation energy from the elements in kJ per mole of atoms: 61.4


20.
Entry from the Alexandria database: an optimized crystal structure of ZrScW2 (GGA-PBEsol).

Cell and atoms, written as POSCAR:
```
ZrScW2
1.0
0.000 3.296 3.296
3.296 0.000 3.296
3.296 3.296 0.000
Zr Sc W
1 1 2
direct
0.000 0.000 0.000
0.500 0.500 0.500
0.250 0.250 0.250
0.750 0.750 0.750
```

Values from the calculation:
Offset from the most stable computed form in meV/atom: 52
Formation energy from the elements in kJ per mole of atoms: 41.1


21.
Entry from the Alexandria database: an optimized crystal structure of Y3Sc (GGA-PBEsol).

Cell and atoms, written as POSCAR:
```
Y3Sc
1.0
5.449 0.000 0.000
0.000 7.020 0.000
0.000 0.000 6.068
Y Sc
6 2
direct
0.250 0.001 0.169
0.250 0.250 0.659
0.250 0.499 0.169
0.750 0.501 0.831
0.750 0.750 0.341
0.750 0.999 0.831
0.250 0.750 0.669
0.750 0.250 0.331
```

Values from the calculation:
Offset from the most stable computed form in meV/atom: 3
Formation energy from the elements in kJ per mole of atoms: 1.9


22.
Entry from the Alexandria database: an optimized crystal structure of Y3Sc (GGA-PBEsol).

Cell and atoms, written as POSCAR:
```
Y3Sc
1.0
1.722 0.994 11.149
-1.722 0.994 11.149
0.000 -1.988 11.149
Y Sc
3 1
direct
0.000 0.000 0.000
0.247 0.247 0.247
0.753 0.753 0.753
0.500 0.500 0.500
```

Values from the calculation:
Offset from the most stable computed form in meV/atom: 32
Formation energy from the elements in kJ per mole of atoms: 4.8


23.
Entry from the Alexandria database: an optimized crystal structure of YSc (GGA-PBEsol).

Cell and atoms, written as POSCAR:
```
YSc
1.0
3.382 0.000 0.000
0.000 3.382 0.000
0.000 0.000 9.389
Y Sc
2 2
direct
0.250 0.250 0.136
0.750 0.750 0.864
0.250 0.250 0.613
0.750 0.750 0.387
```

Values from the calculation:
Offset from the most stable computed form in meV/atom: 34
Formation energy from the elements in kJ per mole of atoms: 5.6


24.
Entry from the Alexandria database: an optimized crystal structure of Y3Sc (GGA-PBEsol).

Cell and atoms, written as POSCAR:
```
Y3Sc
1.0
3.505 -6.077 0.000
3.505 6.077 0.000
0.000 0.000 5.455
Y Sc
6 2
direct
0.083 0.917 0.750
0.087 0.417 0.750
0.417 0.087 0.250
0.583 0.913 0.750
0.913 0.583 0.250
0.917 0.083 0.250
0.419 0.581 0.250
0.581 0.419 0.750
```

Values from the calculation:
Offset from the most stable computed form in meV/atom: 10
Formation energy from the elements in kJ per mole of atoms: 2.7


25.
Entry from the Alexandria database: an optimized crystal structure of Y3Sc (GGA-PBEsol).

Cell and atoms, written as POSCAR:
```
Y3Sc
1.0
7.015 0.000 0.000
-3.507 6.075 0.000
0.000 0.000 5.447
Y Sc
6 2
direct
0.169 0.339 0.250
0.169 0.831 0.250
0.339 0.169 0.750
0.661 0.831 0.250
0.831 0.169 0.750
0.831 0.661 0.750
0.333 0.667 0.750
0.667 0.333 0.250
```

Values from the calculation:
Offset from the most stable computed form in meV/atom: 0
Formation energy from the elements in kJ per mole of atoms: 1.7


26.
Entry from the Alexandria database: an optimized crystal structure of Y5Sc (GGA-PBEsol).

Cell and atoms, written as POSCAR:
```
Y5Sc
1.0
2.445 -7.328 0.000
2.445 7.328 0.000
0.000 0.000 4.891
Y Sc
5 1
direct
0.000 0.000 0.000
0.164 0.836 0.500
0.335 0.665 0.000
0.665 0.335 0.000
0.836 0.164 0.500
0.500 0.500 0.500
```

Values from the calculation:
Formation energy from the elements in kJ per mole of atoms: 3.6


27.
Entry from the Alexandria database: an optimized crystal structure of Y3Sc (GGA-PBEsol).

Cell and atoms, written as POSCAR:
```
Y3Sc
1.0
-1.757 5.449 3.030
1.757 -5.449 3.030
1.757 5.449 -3.030
Y Sc
3 1
direct
0.000 0.000 0.000
0.098 0.342 0.756
0.585 0.342 0.244
0.507 0.007 0.500
```

Values from the calculation:
Offset from the most stable computed form in meV/atom: 8
Formation energy from the elements in kJ per mole of atoms: 2.4


28.
Entry from the Alexandria database: an optimized crystal structure of Y2Sc (GGA-PBEsol).

Cell and atoms, written as POSCAR:
```
Y2Sc
1.0
9.294 0.000 0.000
-4.647 8.049 0.000
0.000 0.000 3.407
Y Sc
6 3
direct
0.000 0.366 0.000
0.000 0.699 0.500
0.301 0.301 0.500
0.366 0.000 0.000
0.634 0.634 0.000
0.699 0.000 0.500
0.000 0.000 0.000
0.333 0.667 0.500
0.667 0.333 0.500
```

Values from the calculation:
Offset from the most stable computed form in meV/atom: 21
Formation energy from the elements in kJ per mole of atoms: 4.3


29.
Entry from the Alexandria database: an optimized crystal structure of Y2Sc (GGA-PBEsol).

Cell and atoms, written as POSCAR:
```
Y2Sc
1.0
6.554 0.000 0.000
0.000 5.351 0.000
0.000 0.000 9.652
Y Sc
8 4
direct
0.040 0.250 0.220
0.195 0.250 0.556
0.305 0.750 0.056
0.460 0.750 0.720
0.540 0.250 0.280
0.695 0.250 0.944
0.805 0.750 0.444
0.960 0.750 0.780
0.204 0.250 0.883
0.296 0.750 0.383
0.704 0.250 0.617
0.796 0.750 0.117
```

Values from the calculation:
Offset from the most stable computed form in meV/atom: 50
Formation energy from the elements in kJ per mole of atoms: 7.1